A plane-wave DFT calculation with PBE with a Hubbard U was carried out for Li4Fe3Ni3Sb2O16 after structural relaxation.

Cell lengths 5.9247, 5.9247, 9.6925 Å; angles 90.48, 90.48, 59.82 degrees
Atoms (fractional coordinates):
Li1 0.0000 0.0000 0.0000
Li2 0.0045 0.0045 0.5026
Li3 0.3308 0.3308 0.5887
Li4 0.6606 0.6606 0.0860
Fe1 0.1662 0.6588 0.2769
Fe2 0.6588 0.1662 0.2769
Fe3 0.8290 0.8290 0.7767
Ni1 0.1686 0.1686 0.2783
Ni2 0.3383 0.8292 0.7778
Ni3 0.8292 0.3383 0.7778
Sb1 0.3292 0.3292 0.0033
Sb2 0.6655 0.6655 0.5068
O1 0.0044 0.0044 0.1890
O2 0.0040 0.0040 0.6921
O3 0.0299 0.4831 0.1434
O4 0.1592 0.6644 0.8970
O5 0.1600 0.1600 0.8963
O6 0.3273 0.3273 0.3810
O7 0.3304 0.8289 0.3971
O8 0.4796 0.4796 0.1449
O9 0.4831 0.0299 0.1434
O10 0.5161 0.5161 0.6470
O11 0.5189 0.9672 0.6441
O12 0.6594 0.6594 0.8757
O13 0.6644 0.1592 0.8970
O14 0.8289 0.3304 0.3971
O15 0.8320 0.8320 0.3954
O16 0.9672 0.5189 0.6441

Results
- total moment (μB/cell) = 18.00
- calculated volume (A^3/atom) = 10.50
- final energy (eV per atom) = -5.727